Entry 1:
A plane-wave DFT calculation with PBE was carried out for an optimized crystal structure of SrAg4As.

Structure (POSCAR):
```
SrAg4As
1.0
0.000 4.019 4.019
4.019 0.000 4.019
4.019 4.019 0.000
Sr Ag As
1 4 1
Direct
0.000 0.000 0.000
0.125 0.625 0.625
0.625 0.125 0.625
0.625 0.625 0.125
0.625 0.625 0.625
0.250 0.250 0.250
```

Density (g cm⁻³): 7.596
Calculated formation energy (eV/atom): -0.17
Space-group type: No. 216
DOS(E_F) (states/eV/f.u.): 1.33

Entry 2:
A plane-wave DFT calculation with PBE was carried out for an optimized crystal structure of Ca4HgSb2.

Structure (POSCAR):
```
Ca4HgSb2
1.0
2.632 -4.561 0.000
2.632 4.561 0.000
0.000 0.000 18.544
Ca Hg Sb
8 2 4
Direct
0.000 0.000 0.000
0.000 0.000 0.500
0.333 0.667 0.629
0.333 0.667 0.871
0.334 0.666 0.250
0.666 0.334 0.750
0.667 0.333 0.129
0.667 0.333 0.371
0.001 0.999 0.250
0.999 0.001 0.750
0.334 0.666 0.079
0.334 0.666 0.421
0.666 0.334 0.579
0.666 0.334 0.921
```

Raw formation energy (meV/atom): -774
Density (g cm⁻³): 4.509
Space-group type: No. 63
DOS(E_F) (states/eV/f.u.): 1.38

Entry 3:
A plane-wave DFT calculation with PBE was carried out for an optimized crystal structure of Ni3Mo2Rh3.

Structure (POSCAR):
```
Ni3Mo2Rh3
1.0
3.489 2.014 2.581
-3.489 2.014 2.581
0.000 -4.029 2.581
Ni Mo Rh
3 2 3
Direct
0.000 0.275 0.725
0.275 0.725 0.000
0.725 0.000 0.275
0.246 0.246 0.246
0.754 0.754 0.754
0.221 0.779 0.500
0.500 0.221 0.779
0.779 0.500 0.221
```

Density (g cm⁻³): 10.325
Calculated formation energy (eV/atom): -0.07
Space-group type: No. 155
DOS(E_F) (states/eV/f.u.): 6.90